Computed, not measured: crystalline SmIrW at its relaxed geometry at the GGA-PBE level of DFT.

Lattice parameters (Å, degrees): 4.5785 4.5785 4.5785 60.00 60.00 60.00
Sites, in units of the cell vectors:
1 Sm 0.7500 0.7500 0.7500
2 W 0.2500 0.2500 0.2500
3 Ir 0.0000 0.0000 0.0000

E: -8.425 eV/atom
relative energy among the computed polymorphs: 0.000 eV/f.u.
space-group type: No. 216
calculated density: 12880 kg/m3



Computed, not measured: crystalline SmYZnIr2 at its relaxed geometry at the GGA-PBE level of DFT.

Lattice parameters (Å, degrees): 5.5418 5.5418 5.5418 135.50 116.51 80.82
Sites, in units of the cell vectors:
1 Zn 0.0014 0.0014 0.0000
2 Ir 0.2692 0.4996 0.7695
3 Ir 0.7301 0.4996 0.2305
4 Sm 0.7024 0.2024 0.5000
5 Y 0.2969 0.7969 0.5000

E: -6.769 eV/atom
space-group type: No. 44
calculated density: 11080 kg/m3



Computed, not measured: crystalline Sm2ZnIr at its relaxed geometry at the GGA-PBE level of DFT.

Lattice parameters (Å, degrees): 5.8144 4.4358 7.8764 90.00 111.61 90.00
Sites, in units of the cell vectors:
1 Sm 0.7116 0.2500 0.4374
2 Sm 0.2683 0.7500 0.0801
3 Sm 0.7317 0.2500 0.9199
4 Sm 0.2884 0.7500 0.5626
5 Zn 0.8458 0.7500 0.2133
6 Zn 0.1542 0.2500 0.7867
7 Ir 0.8574 0.7500 0.7153
8 Ir 0.1426 0.2500 0.2847

E: -5.479 eV/atom
space-group type: No. 11
calculated density: 9818 kg/m3



Computed, not measured: crystalline SmZr2Ir2 at its relaxed geometry at the GGA-PBE level of DFT.

Lattice parameters (Å, degrees): 6.3654 6.3654 6.3654 138.27 138.27 60.49
Sites, in units of the cell vectors:
1 Zr 0.7500 0.2500 0.5000
2 Zr 0.2500 0.7500 0.5000
3 Ir 0.6168 0.6168 0.0000
4 Ir 0.3832 0.3832 0.0000
5 Sm 0.0000 0.0000 0.0000

E: -8.650 eV/atom
space-group type: No. 139
calculated density: 10535 kg/m3



Computed, not measured: crystalline SnIr at its relaxed geometry at the GGA-PBE level of DFT.

Lattice parameters (Å, degrees): 4.2196 4.2196 4.2196 60.00 60.00 60.00
Sites, in units of the cell vectors:
1 Sn 0.2500 0.2500 0.2500
2 Ir 0.0000 0.0000 0.0000

E: -5.982 eV/atom
space-group type: No. 216
calculated density: 9719 kg/m3



Computed, not measured: crystalline SnIr8 at its relaxed geometry at the GGA-PBE level of DFT.

Lattice parameters (Å, degrees): 4.7168 4.7168 29.7178 90.05 90.05 48.55
Sites, in units of the cell vectors:
1 Ir 0.1497 0.1497 0.1312
2 Ir 0.5523 0.5523 0.8983
3 Ir 0.4468 0.4468 0.8116
4 Ir 0.5532 0.5532 0.1884
5 Ir 0.7482 0.7482 0.0730
6 Ir 0.7493 0.7493 0.7821
7 Ir 0.8503 0.8503 0.8688
8 Ir 0.9508 0.9508 0.9561
9 Ir 0.4477 0.4477 0.1017
10 Ir 0.6501 0.6501 0.9857
11 Ir 0.8483 0.8483 0.1611
12 Ir 0.1517 0.1517 0.8389
13 Ir 0.2507 0.2507 0.2179
14 Ir 0.0492 0.0492 0.0439
15 Ir 0.3499 0.3499 0.0143
16 Ir 0.2518 0.2518 0.9270
17 Sn 0.0502 0.0502 0.7456
18 Sn 0.9498 0.9498 0.2544

E: -8.245 eV/atom
space-group type: No. 12
calculated density: 11101 kg/m3



Question: Which value of E does entry 3 give?
Answer: -5.479 eV/atom



What did the fifth record say?
Computed, not measured: crystalline SnIr at its relaxed geometry at the GGA-PBE level of DFT.

Lattice parameters (Å, degrees): 4.2196 4.2196 4.2196 60.00 60.00 60.00
Sites, in units of the cell vectors:
1 Sn 0.2500 0.2500 0.2500
2 Ir 0.0000 0.0000 0.0000

E: -5.982 eV/atom
space-group type: No. 216
calculated density: 9719 kg/m3



Question: The lowest E belongs to which entry?
Answer: SmZr2Ir2